Material: AcPmTl6
Method: DFT, PBE-GGA
State: optimized geometry

Lattice parameters (Å, degrees): 4.9203 4.9203 9.8179 90.00 90.00 90.00
With the nearest neighbours (Å) after each atom.
Space group P4/mmm (No. 123)
Unique sites:
Ac1 0.0000 0.0000 0.0000  12 Tl 3.48-3.54
Pm1 0.0000 0.0000 0.5000  12 Tl 3.41-3.48
Tl1 0.0000 0.5000 0.2590  8 Tl 3.41-3.54, 2 Pm 3.41, 2 Ac 3.54
Tl2 0.5000 0.5000 0.0000  4 Ac 3.48, 8 Tl 3.54
Tl3 0.5000 0.5000 0.5000  8 Tl 3.41, 4 Pm 3.48

Summary:
Crystal system ... tetragonal

***

Material: AcPm2Tl2
Method: DFT, PBE-GGA
State: optimized geometry

Lattice parameters (Å, degrees): 3.9674 29.1026 5.6881 90.00 90.00 90.00
With the nearest neighbours (Å) after each atom.
Space group Cmcm (No. 63)
Unique sites:
Ac1 0.0000 0.1467 0.2500  6 Tl 3.47-3.59, 2 Pm 3.85
Pm1 0.0000 0.0498 0.7500  8 Tl 3.37-3.47
Pm2 0.0000 0.2357 0.7500  2 Tl 3.34, 4 Pm 3.57
Tl1 0.0000 0.3565 0.2500  4 Pm 3.34-3.37, 4 Ac 3.47
Tl2 0.0000 0.4560 0.7500  6 Pm 3.37-3.47, 2 Ac 3.59

Summary:
Excess energy over the best structure of this formula in the dataset ... 0.000 eV/atom
Crystal system ... orthorhombic

***

Material: Ac2Pm2Tl5
Method: DFT, PBE-GGA
State: optimized geometry

Lattice parameters (Å, degrees): 17.4980 8.3375 8.3978 90.00 90.00 90.00
With the nearest neighbours (Å) after each atom.
Space group Cmce (No. 64)
Unique sites:
Ac1 0.2016 0.0000 0.0000  7 Tl 3.46-3.53
Pm1 0.0000 0.1590 0.3392  8 Tl 3.14-3.33
Tl1 0.0000 0.0000 0.0000  4 Pm 3.14-3.15
Tl2 0.1245 0.1406 0.6391  3 Pm 3.22-3.33, 1 Tl 3.31, 3 Ac 3.46-3.52

Summary:
Crystal system ... orthorhombic

***

Material: Ac14PmTl
Method: DFT, PBE-GGA
State: optimized geometry

Lattice parameters (Å, degrees): 11.1230 11.0814 11.0816 90.00 90.00 90.00
With the nearest neighbours (Å) after each atom.
Space group Amm2 (No. 38)
Unique sites:
Ac1 0.0000 0.0000 0.0000  12 Ac 3.91-4.00
Ac2 0.0000 0.0000 0.5003  12 Ac 3.92-3.98
Ac3 0.0000 0.2503 0.2503  12 Ac 3.91-3.99
Ac4 0.2569 0.0000 0.2511  1 Tl 3.86, 10 Ac 3.87-3.99, 1 Pm 3.88
Ac5 0.2580 0.0000 0.7491  1 Tl 3.85, 10 Ac 3.87-4.00, 1 Pm 3.87
Ac6 0.2575 0.2489 0.5002  1 Tl 3.86, 10 Ac 3.87-3.99, 1 Pm 3.88
Ac7 0.5000 0.2493 0.2504  8 Ac 3.87, 2 Tl 3.91-3.93, 2 Pm 3.91-3.92
Pm1 0.5000 0.0000 0.0002  12 Ac 3.87-3.92
Tl1 0.5000 0.0000 0.5001  12 Ac 3.85-3.93

Summary:
Crystal system ... orthorhombic

***

Material: AcPm4Tl5
Method: DFT, PBE-GGA
State: optimized geometry

Lattice parameters (Å, degrees): 3.8913 3.8913 20.0538 90.00 90.00 90.00
With the nearest neighbours (Å) after each atom.
Space group P4/mmm (No. 123)
Unique sites:
Ac1 0.0000 0.0000 0.0000  8 Tl 3.57, 4 Ac 3.89
Pm1 0.0000 0.0000 0.2095  8 Tl 3.36-3.38
Pm2 0.0000 0.0000 0.4035  8 Tl 3.36
Tl1 0.5000 0.5000 0.1136  4 Pm 3.36, 4 Ac 3.57
Tl2 0.5000 0.5000 0.3076  8 Pm 3.36-3.38
Tl3 0.5000 0.5000 0.5000  8 Pm 3.36

Summary:
Crystal system ... tetragonal

***

Material: Ac2Pm3Tl3
Method: DFT, PBE-GGA
State: optimized geometry

Lattice parameters (Å, degrees): 5.1743 5.2496 9.6900 90.00 90.00 90.00
With the nearest neighbours (Å) after each atom.
Space group Pmmm (No. 47)
Unique sites:
Ac1 0.0000 0.0000 0.2453  6 Tl 3.51-3.60, 6 Pm 3.58-3.69
Pm1 0.5000 0.0000 0.5000  4 Ac 3.58, 4 Tl 3.69, 4 Pm 3.74
Pm2 0.5000 0.5000 0.2253  6 Tl 3.39-3.71, 4 Ac 3.69, 2 Pm 3.74
Tl1 0.0000 0.5000 0.0000  4 Pm 3.39, 4 Ac 3.54, 4 Tl 3.69
Tl2 0.0000 0.5000 0.5000  4 Ac 3.60, 8 Pm 3.69-3.71
Tl3 0.5000 0.0000 0.0000  4 Pm 3.41, 4 Ac 3.51, 4 Tl 3.69

Summary:
Crystal system ... orthorhombic

***

Material: AcPmTl2
Method: DFT, PBE-GGA
State: optimized geometry

Lattice parameters (Å, degrees): 4.0069 4.0069 30.0337 90.00 90.00 120.00
With the nearest neighbours (Å) after each atom.
Space group R-3m (No. 166, hexagonal axes)
Unique sites:
Ac1 0.0000 0.0000 0.0000  6 Tl 3.51
Pm1 0.0000 0.0000 0.5000  6 Tl 3.30
Tl1 0.0000 0.0000 0.2452  3 Pm 3.30, 3 Ac 3.51

Summary:
Excess energy over the best structure of this formula in the dataset ... 0.122 eV/atom
Crystal system ... trigonal

***

Material: Ac3Pm2Tl3
Method: DFT, PBE-GGA
State: optimized geometry

Lattice parameters (Å, degrees): 4.0521 5.8014 24.0128 90.00 90.00 90.00
With the nearest neighbours (Å) after each atom.
Space group Immm (No. 71)
Unique sites:
Ac1 0.0000 0.0000 0.0000  8 Tl 3.54-3.62
Ac2 0.0000 0.5000 0.1250  6 Tl 3.54-3.62, 4 Pm 3.91-3.95
Pm1 0.0000 0.0000 0.2340  2 Tl 3.31, 4 Pm 3.62
Tl1 0.0000 0.0000 0.5000  8 Ac 3.54-3.62
Tl2 0.0000 0.5000 0.3751  2 Pm 3.31, 6 Ac 3.54-3.62

Summary:
Excess energy over the best structure of this formula in the dataset ... 0.034 eV/atom
Crystal system ... orthorhombic

***

Material: AcPm7Tl4
Method: DFT, PBE-GGA
State: optimized geometry

Lattice parameters (Å, degrees): 14.7457 6.0344 10.6531 90.00 123.17 90.00
With the nearest neighbours (Å) after each atom.
Space group C2/m (No. 12)
Unique sites:
Ac1 0.0000 0.0000 0.0000  2 Pm 3.02
Pm1 0.0000 0.5000 0.0000  2 Ac 3.02, 4 Tl 3.09-3.23
Pm2 0.0599 0.0000 0.3936  3 Tl 3.22-3.39, 3 Pm 3.38-3.56
Pm3 0.2064 0.0000 0.8810  4 Tl 3.37-3.57, 3 Pm 3.38-3.69
Pm4 0.2206 0.5000 0.6545  4 Tl 3.07-3.27
Tl1 0.0569 0.5000 0.7472  4 Pm 3.07-3.39, 1 Tl 3.25
Tl2 0.1897 0.5000 0.3326  6 Pm 3.09-3.37, 1 Tl 3.25

Summary:
Crystal system ... monoclinic

***

Material: AcPm5Tl8
Method: DFT, PBE-GGA
State: optimized geometry

Lattice parameters (Å, degrees): 9.4892 9.4892 9.7022 90.00 90.00 90.00
With the nearest neighbours (Å) after each atom.
Space group I-4 (No. 82)
Unique sites:
Ac1 0.0000 0.0000 0.0000  8 Tl 3.40-3.48
Pm1 0.0000 0.5000 0.7500  8 Tl 3.29-3.31
Pm2 0.1326 0.2473 0.3688  8 Tl 3.25-3.33
Tl1 0.0813 0.3459 0.0450  5 Pm 3.28-3.33, 2 Tl 3.31-3.46, 1 Ac 3.40
Tl2 0.0882 0.1692 0.6936  5 Pm 3.25-3.29, 2 Tl 3.46-3.62, 1 Ac 3.48

Summary:
Crystal system ... tetragonal

***

Material: Ac2PmTl5
Method: DFT, PBE-GGA
State: optimized geometry

Lattice parameters (Å, degrees): 5.7247 5.7247 15.6239 90.00 90.00 90.00
With the nearest neighbours (Å) after each atom.
Space group I4/mmm (No. 139)
Unique sites:
Ac1 0.0000 0.0000 0.2401  9 Tl 3.49-3.75
Pm1 0.0000 0.0000 0.5000  8 Tl 3.36
Tl1 0.0000 0.0000 0.0000  8 Tl 3.36, 2 Ac 3.75
Tl2 0.0000 0.5000 0.1122  3 Tl 3.36-3.51, 2 Pm 3.36, 4 Ac 3.49-3.68

Summary:
Crystal system ... tetragonal

***

Material: AcPm3Tl3
Method: DFT, PBE-GGA
State: optimized geometry

Lattice parameters (Å, degrees): 9.7311 9.7311 9.7311 90.00 90.00 90.00
With the nearest neighbours (Å) after each atom.
Space group P2_13 (No. 198)
Unique sites:
Ac1 0.0719 0.4281 0.5719  6 Tl 3.34-3.54, 3 Pm 3.69
Pm1 0.0804 0.5804 0.9196  6 Tl 3.21-3.56
Pm2 0.1799 0.1799 0.1799  6 Tl 3.25-3.42
Pm3 0.1802 0.8198 0.3198  6 Tl 3.26-3.40
Tl1 0.0021 0.2613 0.8873  6 Pm 3.21-3.56, 2 Ac 3.34-3.54

Summary:
Excess energy over the best structure of this formula in the dataset ... 0.000 eV/atom
Crystal system ... cubic

***

Density of states at the Fermi level: 2.402; 5.195; 7.502; 21.915; 8.712; 8.865; 2.635; 9.633; 13.378; 12.018; 8.991; 8.022 (states/eV/f.u.)
Formation energy from the elements: -2.5; -1.4; -2.5; -0.2; -3.8; -1.8; -1.0; -2.1; -0.5; -4.1; -2.1; -1.9 (eV per formula unit)
Magnetic moment: 0.00; 0.00; 0.00; 0.00; 0.00; 0.00; 0.00; 0.00; 0.29; 0.00; 0.00; 0.00 (μB/f.u.)